[1]
{
  "formula": "Dy3Er3Si4",
  "functional": "GGA-PBE",
  "state": "relaxed",
  "dft_energy_ev_per_cell": -56.33,
  "mass_density_kg_m3": 7868,
  "lattice": [[-3.2766, -2.1701, -1.5027], [2.9528, -6.2891, 2.6436], [-3.6050, 0.9941, 6.4246]],
  "species": ["Dy", "Dy", "Dy", "Er", "Er", "Er", "Si", "Si", "Si", "Si"],
  "fractional_positions": [[0.5000, 0.8244, 0.1756], [0.5000, 0.3235, 0.3242], [0.5000, 0.6758, 0.6765], [0.0000, 0.5003, 0.0002], [0.0000, 0.9998, 0.4997], [0.5000, 0.1761, 0.8240], [0.0000, 0.6165, 0.3835], [0.0000, 0.3817, 0.6183], [0.0000, 0.8842, 0.8823], [0.0000, 0.1177, 0.1158]]
}


[2]
{
  "formula": "FeHgPb2C",
  "functional": "GGA-PBE",
  "state": "relaxed",
  "ef_kj_per_mol_atoms": 145.7,
  "mass_density_kg_m3": 9365,
  "lattice": [[4.9466, 0.0000, 0.0000], [0.0000, 4.9483, 0.0000], [0.0000, 0.0000, 4.9466]],
  "species": ["Pb", "Pb", "C", "Hg", "Fe"],
  "fractional_positions": [[0.0000, 0.0000, 0.5000], [0.5000, 0.0000, 0.0000], [0.5000, 0.5000, 0.5000], [0.0000, 0.5000, 0.0000], [0.0000, 0.0000, 0.0000]]
}


[3]
{
  "formula": "Ho3Hg3Pb4",
  "functional": "GGA-PBE",
  "state": "relaxed",
  "ef_kj_per_mol_atoms": -23.1,
  "mass_density_kg_m3": 11605,
  "lattice": [[8.4336, 0.0000, -2.9817], [-4.2168, 7.3037, -2.9817], [0.0000, 0.0000, 8.9451]],
  "species": ["Ho", "Ho", "Ho", "Ho", "Ho", "Ho", "Hg", "Hg", "Hg", "Hg", "Hg", "Hg", "Pb", "Pb", "Pb", "Pb", "Pb", "Pb", "Pb", "Pb"],
  "fractional_positions": [[0.6250, 0.7500, 0.8750], [0.8750, 0.2500, 0.6250], [0.1250, 0.3750, 0.2500], [0.3750, 0.1250, 0.7500], [0.2500, 0.8750, 0.1250], [0.7500, 0.6250, 0.3750], [0.1250, 0.7500, 0.3750], [0.3750, 0.2500, 0.1250], [0.6250, 0.8750, 0.2500], [0.8750, 0.6250, 0.7500], [0.2500, 0.3750, 0.6250], [0.7500, 0.1250, 0.8750], [0.0000, 0.0000, 0.2925], [0.5000, 0.2925, 0.5000], [0.7075, 0.2075, 0.2075], [0.0000, 0.0000, 0.7925], [0.7925, 0.5000, 0.0000], [0.5000, 0.7925, 0.5000], [0.2925, 0.5000, 0.0000], [0.2075, 0.7075, 0.7075]]
}


[4]
{
  "formula": "MgTlMo4",
  "functional": "GGA-PBE",
  "state": "relaxed",
  "ef_kj_per_mol_atoms": 49.7,
  "mass_density_kg_m3": 9302,
  "lattice": [[-3.2303, -4.2710, -0.3625], [-4.2936, 0.1479, -3.2172], [-0.0848, -2.9265, -4.4984]],
  "species": ["Mg", "Tl", "Mo", "Mo", "Mo", "Mo"],
  "fractional_positions": [[0.0000, 0.0000, 0.0000], [0.7500, 0.7500, 0.7500], [0.8754, 0.3749, 0.3749], [0.3749, 0.3749, 0.8754], [0.3749, 0.8754, 0.3749], [0.3749, 0.3749, 0.3749]]
}